Computed, not measured: a relaxed structure of LaAl2ZnCu at the GGA-PBE level of DFT.

Lattice parameters (Å, degrees): 4.349 4.332 6.069 110.91 111.00 90.00
Atoms (fractional coordinates):
Al1 0.701 0.201 0.403
Al2 0.051 0.051 0.102
Zn1 0.195 0.695 0.390
Cu1 0.818 0.818 0.637
La1 0.447 0.447 0.893

Summary:
DFT total energy: -3.9526 eV/atom
spin magnetization: 0.000 Bohr magnetons per cell
space-group type: Imm2

Computed, not measured: a relaxed structure of LiAlCu2 at the GGA-PBE level of DFT.

Lattice parameters (Å, degrees): 4.264 4.263 2.830 90.00 90.00 90.00
Atoms (fractional coordinates):
Li1 0.500 0.000 0.500
Cu1 0.500 0.500 0.000
Cu2 0.000 0.000 0.000
Al1 0.000 0.500 0.500

Summary:
DFT total energy: -3.6680 eV/atom
spin magnetization: 0.000 Bohr magnetons per cell
space-group type: P4/mmm

Computed, not measured: a relaxed structure of LiAl6Cu12 at the GGA-PBE level of DFT.

Lattice parameters (Å, degrees): 6.287 6.287 6.287 90.84 90.84 90.84
Atoms (fractional coordinates):
Cu1 0.149 0.368 0.041
Cu2 0.851 0.632 0.959
Cu3 0.959 0.851 0.632
Cu4 0.203 0.469 0.556
Cu5 0.556 0.203 0.469
Cu6 0.797 0.531 0.444
Cu7 0.444 0.797 0.531
Cu8 0.632 0.959 0.851
Cu9 0.531 0.444 0.797
Cu10 0.469 0.556 0.203
Cu11 0.041 0.149 0.368
Cu12 0.368 0.041 0.149
Al1 0.268 0.718 0.882
Al2 0.882 0.268 0.718
Al3 0.718 0.882 0.268
Al4 0.282 0.118 0.732
Al5 0.732 0.282 0.118
Al6 0.118 0.732 0.282
Li1 0.000 0.000 0.000

Summary:
DFT total energy: -3.9979 eV/atom
spin magnetization: 0.000 Bohr magnetons per cell
space-group type: R-3

Computed, not measured: a relaxed structure of LiAlCu3 at the GGA-PBE level of DFT.

Lattice parameters (Å, degrees): 4.698 5.061 6.573 112.64 90.00 90.00
Atoms (fractional coordinates):
Cu1 0.750 0.905 0.306
Cu2 0.250 0.599 0.694
Cu3 0.750 0.401 0.306
Cu4 0.500 0.000 0.000
Cu5 0.250 0.095 0.694
Cu6 0.000 0.000 0.000
Li1 0.250 0.573 0.146
Li2 0.750 0.427 0.854
Al1 0.750 0.822 0.644
Al2 0.250 0.178 0.356

Summary:
DFT total energy: -3.6618 eV/atom
spin magnetization: 0.000 Bohr magnetons per cell
space-group type: Cmcm

Computed, not measured: a relaxed structure of Li3Al2Cu4 at the GGA-PBE level of DFT.

Lattice parameters (Å, degrees): 4.172 4.166 7.806 90.11 90.00 120.05
Atoms (fractional coordinates):
Li1 0.000 0.000 0.000
Li2 0.667 0.334 0.437
Li3 0.333 0.666 0.563
Cu1 0.000 0.000 0.332
Cu2 0.667 0.334 0.110
Cu3 0.333 0.666 0.890
Cu4 0.000 0.000 0.668
Al1 0.333 0.667 0.214
Al2 0.667 0.333 0.786

Summary:
DFT total energy: -3.4847 eV/atom
spin magnetization: 0.000 Bohr magnetons per cell
space-group type: C2/m

Computed, not measured: a relaxed structure of LiAl2Cu at the GGA-PBE level of DFT.

Lattice parameters (Å, degrees): 2.825 2.825 7.482 90.00 90.00 91.12
Atoms (fractional coordinates):
Al1 0.000 0.000 0.001
Al2 0.500 0.500 0.280
Cu1 0.000 0.000 0.491
Li1 0.500 0.500 0.728

Summary:
DFT total energy: -3.4678 eV/atom
spin magnetization: 0.000 Bohr magnetons per cell
space-group type: Cmm2

Computed, not measured: a relaxed structure of Li3AlCu6 at the GGA-PBE level of DFT.

Lattice parameters (Å, degrees): 3.779 8.335 8.114 88.19 90.00 90.00
Atoms (fractional coordinates):
Al1 0.750 0.057 0.387
Al2 0.250 0.943 0.613
Cu1 0.750 0.552 0.904
Cu2 0.750 0.348 0.290
Cu3 0.750 0.846 0.810
Cu4 0.250 0.448 0.096
Cu5 0.250 0.238 0.492
Cu6 0.750 0.762 0.508
Cu7 0.750 0.957 0.099
Cu8 0.250 0.043 0.901
Cu9 0.250 0.154 0.190
Cu10 0.750 0.135 0.692
Cu11 0.250 0.652 0.710
Cu12 0.250 0.865 0.308
Li1 0.750 0.446 0.598
Li2 0.250 0.753 0.003
Li3 0.250 0.554 0.402
Li4 0.750 0.247 0.997
Li5 0.750 0.658 0.204
Li6 0.250 0.342 0.796

Summary:
DFT total energy: -3.4951 eV/atom
spin magnetization: 0.000 Bohr magnetons per cell
space-group type: P2_1/m

Computed, not measured: a relaxed structure of LiAlCu at the GGA-PBE level of DFT.

Lattice parameters (Å, degrees): 4.650 4.650 4.650 146.18 132.59 59.50
Atoms (fractional coordinates):
Al1 0.993 0.993 0.000
Cu1 0.338 0.338 0.000
Li1 0.670 0.670 0.000

Summary:
DFT total energy: -3.4126 eV/atom
spin magnetization: 0.000 Bohr magnetons per cell
space-group type: Imm2

Computed, not measured: a relaxed structure of Li2AlCu2 at the GGA-PBE level of DFT.

Lattice parameters (Å, degrees): 3.344 3.344 6.821 75.81 75.81 90.00
Atoms (fractional coordinates):
Li1 0.750 0.250 0.500
Li2 0.250 0.750 0.500
Cu1 0.594 0.594 0.812
Cu2 0.406 0.406 0.188
Al1 0.000 0.000 0.000

Summary:
DFT total energy: -3.0346 eV/atom
spin magnetization: 0.000 Bohr magnetons per cell
space-group type: I4/mmm

Computed, not measured: a relaxed structure of LiAl2Cu2 at the GGA-PBE level of DFT.

Lattice parameters (Å, degrees): 3.953 3.953 6.017 70.82 70.82 90.00
Atoms (fractional coordinates):
Li1 0.000 0.000 0.000
Al1 0.250 0.750 0.500
Al2 0.750 0.250 0.500
Cu1 0.389 0.389 0.222
Cu2 0.611 0.611 0.778

Summary:
DFT total energy: -3.5368 eV/atom
spin magnetization: 0.000 Bohr magnetons per cell
space-group type: I4/mmm

Computed, not measured: a relaxed structure of LiAlCu6 at the GGA-PBE level of DFT.

Lattice parameters (Å, degrees): 4.968 4.968 4.968 82.24 82.24 82.24
Atoms (fractional coordinates):
Cu1 0.473 0.843 0.843
Cu2 0.157 0.527 0.157
Cu3 0.157 0.157 0.527
Cu4 0.843 0.843 0.473
Cu5 0.527 0.157 0.157
Cu6 0.843 0.473 0.843
Al1 0.000 0.000 0.000
Li1 0.500 0.500 0.500

Summary:
DFT total energy: -3.5698 eV/atom
spin magnetization: 0.000 Bohr magnetons per cell
space-group type: R-3m

Computed, not measured: a relaxed structure of LiAl2Cu at the GGA-PBE level of DFT.

Lattice parameters (Å, degrees): 4.891 7.218 14.335 90.00 90.00 90.00
Atoms (fractional coordinates):
Cu1 0.729 0.750 0.186
Cu2 0.271 0.250 0.814
Cu3 0.947 0.250 0.067
Cu4 0.553 0.250 0.567
Cu5 0.053 0.750 0.933
Cu6 0.447 0.750 0.433
Cu7 0.771 0.750 0.686
Cu8 0.229 0.250 0.314
Al1 0.757 0.940 0.536
Al2 0.743 0.560 0.036
Al3 0.257 0.440 0.964
Al4 0.074 0.940 0.787
Al5 0.574 0.060 0.713
Al6 0.743 0.940 0.036
Al7 0.243 0.060 0.464
Al8 0.426 0.560 0.287
Al9 0.926 0.440 0.213
Al10 0.074 0.560 0.787
Al11 0.926 0.060 0.213
Al12 0.426 0.940 0.287
Al13 0.243 0.440 0.464
Al14 0.257 0.060 0.964
Al15 0.757 0.560 0.536
Al16 0.574 0.440 0.713
Li1 0.266 0.750 0.611
Li2 0.234 0.750 0.111
Li3 0.766 0.250 0.889
Li4 0.056 0.250 0.639
Li5 0.556 0.750 0.861
Li6 0.444 0.250 0.139
Li7 0.734 0.250 0.389
Li8 0.944 0.750 0.361

Summary:
DFT total energy: -3.5719 eV/atom
spin magnetization: 0.000 Bohr magnetons per cell
space-group type: Pnma